[1]
DFT (PBE) results for a geometry-optimized RbTlNiI4 structure.

a = 7.680 Å, b = 8.021 Å, c = 10.287 Å
α = 90.00°, β = 109.45°, γ = 90.00°
Fractional coordinates of all 14 atoms:
Rb1 0.209 0.250 0.047
Rb2 0.791 0.750 0.953
Tl1 0.263 0.250 0.565
Tl2 0.737 0.750 0.435
Ni1 0.234 0.750 0.794
Ni2 0.766 0.250 0.206
I1 0.005 0.504 0.721
I2 0.005 0.996 0.721
I3 0.352 0.750 0.058
I4 0.405 0.750 0.619
I5 0.595 0.250 0.381
I6 0.648 0.250 0.942
I7 0.995 0.004 0.279
I8 0.995 0.496 0.279

Space group: P2_1/m (11)
Crystal system: monoclinic
E_form (uncorrected): -0.61 eV/atom



[2]
DFT (PBE) results for a geometry-optimized Ba3HgGe structure.

a = 6.451 Å, b = 6.451 Å, c = 6.451 Å
α = 90.00°, β = 90.00°, γ = 90.00°
Fractional coordinates of all 5 atoms:
Ba1 0.000 0.000 0.500
Ba2 0.000 0.500 0.000
Ba3 0.500 0.000 0.000
Hg1 0.500 0.500 0.500
Ge1 0.000 0.000 0.000

Space group: Pm-3m (221)
Crystal system: cubic
Relative energy among the computed polymorphs: 239 meV/atom
Energy relative to the elements: -0.19 eV per atom



[3]
DFT (PBE) results for a geometry-optimized DyZrGe2 structure.

a = 6.929 Å, b = 6.929 Å, c = 6.929 Å
α = 131.84°, β = 131.84°, γ = 70.49°
Fractional coordinates of all 8 atoms:
Dy1 0.375 0.625 0.750
Dy2 0.625 0.375 0.250
Zr1 0.125 0.875 0.250
Zr2 0.875 0.125 0.750
Ge1 0.118 0.368 0.750
Ge2 0.368 0.118 0.250
Ge3 0.632 0.882 0.750
Ge4 0.882 0.632 0.250

Space group: I4_1/amd (141)
Crystal system: tetragonal
Relative energy among the computed polymorphs: 33 meV/atom
Energy relative to the elements: -0.69 eV per atom



[4]
DFT (PBE) results for a geometry-optimized Zr2NbRh structure.

a = 4.726 Å, b = 4.726 Å, c = 3.394 Å
α = 90.00°, β = 90.00°, γ = 90.00°
Fractional coordinates of all 4 atoms:
Zr1 0.000 0.500 0.000
Zr2 0.500 0.000 0.000
Nb1 0.000 0.000 0.500
Rh1 0.500 0.500 0.500

Space group: P4/mmm (123)
Crystal system: tetragonal
Energy relative to the elements: -0.35 eV per atom



[5]
DFT (PBE) results for a geometry-optimized CrSi2HgB structure.

a = 4.434 Å, b = 4.434 Å, c = 5.145 Å
α = 90.00°, β = 90.00°, γ = 90.00°
Fractional coordinates of all 5 atoms:
Cr1 0.000 0.000 0.000
Si1 0.000 0.500 0.000
Si2 0.500 0.000 0.000
Hg1 0.000 0.000 0.500
B1 0.500 0.500 0.500

Space group: P4/mmm (123)
Crystal system: tetragonal
E_form (uncorrected): 1.34 eV/atom



[6]
DFT (PBE) results for a geometry-optimized PIrRu4 structure.

a = 5.059 Å, b = 5.059 Å, c = 5.059 Å
α = 60.00°, β = 60.00°, γ = 60.00°
Fractional coordinates of all 6 atoms:
P1 0.000 0.000 0.000
Ir1 0.250 0.250 0.250
Ru1 0.127 0.624 0.624
Ru2 0.624 0.127 0.624
Ru3 0.624 0.624 0.127
Ru4 0.624 0.624 0.624

Space group: F-43m (216)
Crystal system: cubic
Energy relative to the elements: 0.90 eV per atom



[7]
DFT (PBE) results for a geometry-optimized Pm3Ga4Si3 structure.

a = 8.257 Å, b = 8.257 Å, c = 8.257 Å
α = 109.47°, β = 109.47°, γ = 109.47°
Fractional coordinates of all 20 atoms:
Pm1 0.125 0.875 0.250
Pm2 0.250 0.125 0.875
Pm3 0.375 0.625 0.750
Pm4 0.625 0.750 0.375
Pm5 0.750 0.375 0.625
Pm6 0.875 0.250 0.125
Ga1 0.000 0.182 0.500
Ga2 0.000 0.682 0.500
Ga3 0.182 0.500 0.000
Ga4 0.318 0.318 0.318
Ga5 0.500 0.000 0.182
Ga6 0.500 0.000 0.682
Ga7 0.682 0.500 0.000
Ga8 0.818 0.818 0.818
Si1 0.125 0.750 0.875
Si2 0.250 0.625 0.375
Si3 0.375 0.250 0.625
Si4 0.625 0.375 0.250
Si5 0.750 0.875 0.125
Si6 0.875 0.125 0.750

Space group: I-43d (220)
Crystal system: cubic
E_form (uncorrected): -0.45 eV/atom



[8]
DFT (PBE) results for a geometry-optimized KCd2PdC structure.

a = 6.438 Å, b = 6.438 Å, c = 5.108 Å
α = 90.00°, β = 90.00°, γ = 90.00°
Fractional coordinates of all 5 atoms:
K1 0.000 0.000 0.000
Cd1 0.000 0.500 0.000
Cd2 0.500 0.000 0.000
Pd1 0.500 0.500 0.500
C1 0.000 0.000 0.500

Space group: P4/mmm (123)
Crystal system: tetragonal
Energy relative to the elements: 1.98 eV per atom



[9]
DFT (PBE) results for a geometry-optimized ZnTcRh2 structure.

a = 2.739 Å, b = 4.414 Å, c = 4.697 Å
α = 90.00°, β = 90.00°, γ = 90.00°
Fractional coordinates of all 4 atoms:
Zn1 0.000 0.000 0.000
Tc1 0.000 0.500 0.348
Rh1 0.500 0.000 0.508
Rh2 0.500 0.500 0.866

Space group: Pmm2 (25)
Crystal system: orthorhombic
Energy relative to the elements: -0.10 eV per atom



[10]
DFT (PBE) results for a geometry-optimized Th4Tl5C structure.

a = 8.885 Å, b = 8.885 Å, c = 9.336 Å
α = 99.04°, β = 99.04°, γ = 23.76°
Fractional coordinates of all 10 atoms:
Th1 0.007 0.007 0.187
Th2 0.349 0.349 0.964
Th3 0.651 0.651 0.036
Th4 0.993 0.993 0.813
Tl1 0.172 0.172 0.722
Tl2 0.183 0.183 0.382
Tl3 0.500 0.500 0.500
Tl4 0.817 0.817 0.618
Tl5 0.828 0.828 0.278
C1 0.500 0.500 0.000

Space group: C2/m (12)
Crystal system: monoclinic
Energy relative to the elements: -0.06 eV per atom



[11]
DFT (PBE) results for a geometry-optimized Ce2CuP4Pd3 structure.

a = 4.297 Å, b = 4.297 Å, c = 9.445 Å
α = 90.00°, β = 90.00°, γ = 90.00°
Fractional coordinates of all 10 atoms:
Ce1 0.000 0.500 0.245
Ce2 0.500 0.000 0.755
Cu1 0.000 0.000 0.500
P1 0.000 0.000 0.000
P2 0.000 0.500 0.631
P3 0.500 0.000 0.369
P4 0.500 0.500 0.000
Pd1 0.000 0.500 0.884
Pd2 0.500 0.000 0.116
Pd3 0.500 0.500 0.500

Space group: P-4m2 (115)
Crystal system: tetragonal
Energy relative to the elements: -0.85 eV per atom



no.,total DFT energy (no corrections) (eV/atom),spin magnetization (μB/f.u.)
1,-2.801,2.00
2,-2.328,0.00
3,-6.291,0.00
4,-8.982,0.00
5,-4.154,0.63
6,-7.665,0.42
7,-4.713,0.00
8,-1.493,2.92
9,-6.687,0.00
10,-5.134,0.00
11,-6.168,1.52